Entry 1:
NbTcSnMo: optimized geometry, PBE.

## Properties
- Energy of formation: -0.01 eV/atom
- Calculated volume: 17.120 Å³/atom

Lattice parameters (Å, degrees): 4.592 4.592 4.592 60.00 60.00 60.00
Positions (direct):
Mo 0.500 0.500 0.500
Sn 0.250 0.250 0.250
Nb 0.750 0.750 0.750
Tc 0.000 0.000 0.000

Entry 2:
ScP: optimized geometry, PBE.

## Properties
- Energy of formation: -1.17 eV/atom
- Calculated volume: 19.316 Å³/atom

Lattice parameters (Å, degrees): 6.757 6.102 3.748 90.00 90.00 90.00
Positions (direct):
Sc 0.230 0.500 0.000
Sc 0.770 0.500 0.000
Sc 0.730 0.000 0.500
Sc 0.270 0.000 0.500
P 0.000 0.298 0.500
P 0.000 0.702 0.500
P 0.500 0.798 0.000
P 0.500 0.202 0.000

Entry 3:
LaNdSmAg: optimized geometry, PBE.

## Properties
- Offset from the most stable computed form: 191 meV/atom
- Energy of formation: 0.08 eV/atom
- Calculated volume: 28.976 Å³/atom

Lattice parameters (Å, degrees): 5.473 5.473 5.473 60.00 60.00 60.00
Positions (direct):
Nd 0.750 0.750 0.750
Ag 0.000 0.000 0.000
Sm 0.250 0.250 0.250
La 0.500 0.500 0.500